i.
Zr4Re5, optimized geometry, DFT GGA-PBE; magnetization = 0.000 μB/atom; DOS(E_F) = 15.86 states/eV/cell
1.0
8.352 0.000 0.000
-4.176 7.233 0.000
0.000 0.000 5.376
Zr Re
8 10
Direct
0.000 0.000 0.000
0.000 0.000 0.500
0.000 0.374 0.250
0.000 0.626 0.750
0.374 0.000 0.250
0.374 0.374 0.750
0.626 0.000 0.750
0.626 0.626 0.250
0.000 0.304 0.750
0.000 0.696 0.250
0.304 0.000 0.750
0.304 0.304 0.250
0.333 0.667 0.000
0.333 0.667 0.500
0.667 0.333 0.000
0.667 0.333 0.500
0.696 0.000 0.250
0.696 0.696 0.750

ii.
Zr4Re5, optimized geometry, DFT GGA-PBE; magnetization = 0.000 μB/atom; DOS(E_F) = 5.93 states/eV/cell
1.0
-4.963 4.963 1.615
4.963 -4.963 1.615
4.963 4.963 -1.615
Zr Re
4 5
Direct
0.000 0.315 0.315
0.000 0.685 0.685
0.315 0.000 0.315
0.685 0.000 0.685
0.000 0.000 0.000
0.334 0.334 0.667
0.334 0.666 0.000
0.666 0.334 0.000
0.666 0.666 0.333

List of relative energies, unit meV/atom: i 247; ii 0

i.
Zr3Re4, optimized geometry, DFT GGA-PBE; magnetization = 0.000 μB/atom; DOS(E_F) = 10.62 states/eV/cell
1.0
3.068 0.000 0.000
0.000 3.068 0.000
0.000 0.000 27.535
Zr Re
6 8
Direct
0.000 0.000 0.000
0.000 0.000 0.298
0.000 0.000 0.702
0.500 0.500 0.202
0.500 0.500 0.500
0.500 0.500 0.798
0.000 0.000 0.129
0.000 0.000 0.424
0.000 0.000 0.576
0.000 0.000 0.871
0.500 0.500 0.076
0.500 0.500 0.371
0.500 0.500 0.629
0.500 0.500 0.924

ii.
Zr3Re4, optimized geometry, DFT GGA-PBE; magnetization = 0.000 μB/atom; DOS(E_F) = 5.82 states/eV/cell
1.0
5.346 0.000 0.000
-2.673 4.629 0.000
0.000 0.000 5.103
Zr Re
3 4
Direct
0.000 0.500 0.000
0.500 0.000 0.000
0.500 0.500 0.000
0.000 0.000 0.270
0.000 0.000 0.730
0.333 0.667 0.500
0.667 0.333 0.500

List of relative energies, unit meV/atom: i 0; ii 713

i.
RuRh2, optimized geometry, DFT GGA-PBE; magnetization = 0.000 μB/atom; DOS(E_F) = 9.90 states/eV/cell
1.0
7.393 0.000 0.000
-3.696 6.403 0.000
0.000 0.000 2.710
Ru Rh
3 6
Direct
0.000 0.000 0.000
0.333 0.667 0.500
0.667 0.333 0.500
0.000 0.298 0.500
0.000 0.634 0.000
0.298 0.000 0.500
0.366 0.366 0.000
0.634 0.000 0.000
0.702 0.702 0.500

ii.
RuRh2, optimized geometry, DFT GGA-PBE; magnetization = 0.000 μB/atom; DOS(E_F) = 11.20 states/eV/cell
1.0
4.339 0.000 0.000
-2.169 3.757 0.000
0.000 0.000 5.318
Ru Rh
2 4
Direct
0.333 0.667 0.250
0.667 0.333 0.750
0.000 0.000 0.000
0.000 0.000 0.500
0.333 0.667 0.750
0.667 0.333 0.250

List of relative energies, unit meV/atom: i 0; ii 170